(1)
A relaxed structure of LiZnTcNi. Source: OQMD via LeMat-Bulk, functional PBE-GGA.

CIF file:
```
data_LiZnTcNi
_chemical_formula_sum 'Li4 Zn4 Tc4 Ni4'
_symmetry_space_group_name_H-M 'F -4 3 m'
_symmetry_Int_Tables_number 216
_symmetry_space_group_name_Hall 'F -4 2 3'
_cell_length_a 5.8628
_cell_length_b 5.8628
_cell_length_c 5.8628
_cell_angle_alpha 90.00
_cell_angle_beta 90.00
_cell_angle_gamma 90.00
loop_
_atom_site_label
_atom_site_fract_x
_atom_site_fract_y
_atom_site_fract_z
Li1 0.0000 0.0000 0.0000
Zn1 0.2500 0.2500 0.2500
Tc1 0.2500 0.2500 0.7500
Ni1 0.0000 0.0000 0.5000
```

Computed properties:
energy above the lowest structure with this stoichiometry: 0.0 meV/atom


(2)
A relaxed structure of LiNiTe. Source: OQMD via LeMat-Bulk, functional PBE-GGA.

CIF file:
```
data_LiNiTe
_chemical_formula_sum 'Li4 Ni4 Te4'
_symmetry_space_group_name_H-M 'F -4 3 m'
_symmetry_Int_Tables_number 216
_symmetry_space_group_name_Hall 'F -4 2 3'
_cell_length_a 5.9003
_cell_length_b 5.9003
_cell_length_c 5.9003
_cell_angle_alpha 90.00
_cell_angle_beta 90.00
_cell_angle_gamma 90.00
loop_
_atom_site_label
_atom_site_fract_x
_atom_site_fract_y
_atom_site_fract_z
Li1 0.0000 0.0000 0.0000
Ni1 0.2500 0.2500 0.2500
Te1 0.0000 0.0000 0.5000
```

Computed properties:
energy above the lowest structure with this stoichiometry: 0.0 meV/atom


(3)
A relaxed structure of Li2NiTe. Source: OQMD via LeMat-Bulk, functional PBE-GGA.

CIF file:
```
data_Li2NiTe
_chemical_formula_sum 'Li8 Ni4 Te4'
_symmetry_space_group_name_H-M 'F -4 3 m'
_symmetry_Int_Tables_number 216
_symmetry_space_group_name_Hall 'F -4 2 3'
_cell_length_a 6.1641
_cell_length_b 6.1641
_cell_length_c 6.1641
_cell_angle_alpha 90.00
_cell_angle_beta 90.00
_cell_angle_gamma 90.00
loop_
_atom_site_label
_atom_site_fract_x
_atom_site_fract_y
_atom_site_fract_z
Li1 0.0000 0.0000 0.0000
Li2 0.2500 0.2500 0.2500
Ni1 0.2500 0.2500 0.7500
Te1 0.0000 0.0000 0.5000
```

Computed properties:
E_tot: -3.607 eV/atom


(4)
A relaxed structure of LiNi3Te5. Source: OQMD via LeMat-Bulk, functional PBE-GGA.

CIF file:
```
data_LiNi3Te5
_chemical_formula_sum 'Li1 Ni3 Te5'
_symmetry_space_group_name_H-M 'P 6/m m m'
_symmetry_Int_Tables_number 191
_symmetry_space_group_name_Hall '-P 6 2'
_cell_length_a 5.6194
_cell_length_b 5.6194
_cell_length_c 7.5775
_cell_angle_alpha 90.00
_cell_angle_beta 90.00
_cell_angle_gamma 120.00
loop_
_atom_site_label
_atom_site_fract_x
_atom_site_fract_y
_atom_site_fract_z
Li1 0.0000 0.0000 0.0000
Ni1 0.0000 0.5000 0.5000
Te1 0.0000 0.0000 0.5000
Te2 0.3333 0.6667 0.2312
```

Computed properties:
E_tot: -3.913 eV/atom


(5)
A relaxed structure of LiYNiTe3. Source: OQMD via LeMat-Bulk, functional PBE-GGA.

CIF file:
```
data_LiYNiTe3
_chemical_formula_sum 'Li4 Y4 Ni4 Te12'
_symmetry_space_group_name_H-M 'P n m a'
_symmetry_Int_Tables_number 62
_cell_length_a 12.1932
_cell_length_b 4.1435
_cell_length_c 11.8546
_cell_angle_alpha 90.00
_cell_angle_beta 90.00
_cell_angle_gamma 90.00
loop_
_symmetry_equiv_pos_as_xyz
'x,y,z'
'-x,-y,-z'
'-x+1/2,-y,z+1/2'
'x+1/2,y,-z+1/2'
'x+1/2,-y+1/2,-z+1/2'
'-x+1/2,y+1/2,z+1/2'
'-x,y+1/2,-z'
'x,-y+1/2,z'
loop_
_atom_site_label
_atom_site_fract_x
_atom_site_fract_y
_atom_site_fract_z
Li1 0.2334 0.2500 0.0545
Y1 0.0533 0.2500 0.3004
Ni1 0.2455 0.7500 0.2262
Te1 0.0728 0.7500 0.1116
Te2 0.0966 0.2500 0.5777
Te3 0.1899 0.7500 0.8250
```

Computed properties:
energy above the lowest structure with this stoichiometry: 10.0 meV/atom


(6)
A relaxed structure of LiYNiTe3. Source: OQMD via LeMat-Bulk, functional PBE-GGA.

CIF file:
```
data_LiYNiTe3
_chemical_formula_sum 'Li4 Y4 Ni4 Te12'
_symmetry_space_group_name_H-M 'C m c m'
_symmetry_Int_Tables_number 63
_symmetry_space_group_name_Hall '-C 2c 2'
_cell_length_a 4.0553
_cell_length_b 14.6573
_cell_length_c 10.6397
_cell_angle_alpha 90.00
_cell_angle_beta 90.00
_cell_angle_gamma 90.00
loop_
_atom_site_label
_atom_site_fract_x
_atom_site_fract_y
_atom_site_fract_z
Li1 0.0000 0.2372 0.2500
Y1 0.0000 0.0000 0.0000
Ni1 0.0000 0.4879 0.7500
Te1 0.0000 0.0989 0.7500
Te2 0.0000 0.3584 0.5900
```

Computed properties:
energy above the lowest structure with this stoichiometry: 0.0 meV/atom


(7)
A relaxed structure of LiZrNiTe3. Source: OQMD via LeMat-Bulk, functional PBE-GGA.

CIF file:
```
data_LiZrNiTe3
_chemical_formula_sum 'Li4 Zr4 Ni4 Te12'
_symmetry_space_group_name_H-M 'C m c m'
_symmetry_Int_Tables_number 63
_symmetry_space_group_name_Hall '-C 2c 2'
_cell_length_a 3.8502
_cell_length_b 14.2286
_cell_length_c 10.4556
_cell_angle_alpha 90.00
_cell_angle_beta 90.00
_cell_angle_gamma 90.00
loop_
_atom_site_label
_atom_site_fract_x
_atom_site_fract_y
_atom_site_fract_z
Li1 0.0000 0.2218 0.2500
Zr1 0.0000 0.0000 0.0000
Ni1 0.0000 0.4768 0.7500
Te1 0.0000 0.0954 0.7500
Te2 0.0000 0.3559 0.5693
```

Computed properties:
E_tot: -4.942 eV/atom


(8)
A relaxed structure of Li2Th2Ni15. Source: OQMD via LeMat-Bulk, functional PBE-GGA.

CIF file:
```
data_Li2Th2Ni15
_chemical_formula_sum 'Li6 Th6 Ni45'
_symmetry_space_group_name_H-M 'R -3 m'
_symmetry_Int_Tables_number 166
_symmetry_space_group_name_Hall '-R 3 2"'
_cell_length_a 8.3565
_cell_length_b 8.3565
_cell_length_c 12.1754
_cell_angle_alpha 90.00
_cell_angle_beta 90.00
_cell_angle_gamma 120.00
loop_
_atom_site_label
_atom_site_fract_x
_atom_site_fract_y
_atom_site_fract_z
Li1 0.0000 0.0000 0.0903
Th1 0.0000 0.0000 0.3411
Ni1 0.0000 0.3049 0.0000
Ni2 0.0000 0.5000 0.1581
Ni3 0.0000 0.5000 0.5000
```

Computed properties:
E_tot: -5.656 eV/atom